one | VASP calculation (PBE with a Hubbard U) on a relaxed CrRhO2 crystal. Values from VASP.

Output
Its space group is No. 166. The calculation puts the total magnetization at 2.78 μB/f.u.

```
&SYSTEM
  ibrav = 0, nat = 4, ntyp = 3
/
ATOMIC_SPECIES
Cr 52.00 Cr.upf
Rh 102.91 Rh.upf
O 16.00 O.upf
ATOMIC_POSITIONS crystal
Cr 0.500 0.500 0.500
Rh 0.000 0.000 0.000
O 0.891 0.891 0.891
O 0.109 0.109 0.109
CELL_PARAMETERS angstrom
1.676 0.000 6.126
-0.838 1.452 6.126
-0.838 -1.452 6.126
```

=====

two | VASP calculation (PBE with a Hubbard U) on a relaxed CrRhO2 crystal. Values from VASP.

Output
Its space group is No. 122. The calculation puts the total magnetization at 0.74 μB/f.u.

```
&SYSTEM
  ibrav = 0, nat = 8, ntyp = 3
/
ATOMIC_SPECIES
Cr 52.00 Cr.upf
Rh 102.91 Rh.upf
O 16.00 O.upf
ATOMIC_POSITIONS crystal
Cr 0.500 0.500 0.000
Cr 0.250 0.750 0.500
Rh 0.000 0.000 0.000
Rh 0.750 0.250 0.500
O 0.573 0.125 0.250
O 0.177 0.625 0.250
O 0.375 0.427 0.750
O 0.875 0.823 0.750
CELL_PARAMETERS angstrom
4.615 0.000 0.000
0.000 4.615 0.000
2.308 2.308 4.828
```

=====

three | VASP calculation (PBE with a Hubbard U) on a relaxed CrRhO2 crystal. Values from VASP.

Output
Its space group is No. 166. The calculation puts the total magnetization at 4.17 μB/f.u.

```
&SYSTEM
  ibrav = 0, nat = 4, ntyp = 3
/
ATOMIC_SPECIES
Cr 52.00 Cr.upf
Rh 102.91 Rh.upf
O 16.00 O.upf
ATOMIC_POSITIONS crystal
Cr 0.000 0.000 0.000
Rh 0.500 0.500 0.500
O 0.888 0.888 0.888
O 0.112 0.112 0.112
CELL_PARAMETERS angstrom
3.831 4.034 2.651
5.522 2.715 0.335
3.508 5.056 -0.318
```

=====

It is two that is the least stable of them.

=====

one | VASP calculation (PBE with a Hubbard U) on a relaxed CrRh2O6 crystal. Values from VASP.

Output
Its space group is No. 162. The calculation puts the total magnetization at 0.03 μB/f.u.

```
&SYSTEM
  ibrav = 0, nat = 9, ntyp = 3
/
ATOMIC_SPECIES
Cr 52.00 Cr.upf
Rh 102.91 Rh.upf
O 16.00 O.upf
ATOMIC_POSITIONS crystal
Cr 0.500 0.000 0.000
Rh 0.500 0.667 0.333
Rh 0.500 0.333 0.667
O 0.301 0.664 0.664
O 0.301 0.000 0.336
O 0.301 0.336 0.000
O 0.699 0.336 0.336
O 0.699 0.000 0.664
O 0.699 0.664 0.000
CELL_PARAMETERS angstrom
4.777 0.000 0.000
0.000 5.315 0.000
0.000 -2.657 4.603
```

=====

two | VASP calculation (PBE with a Hubbard U) on a relaxed CrRh2O6 crystal. Values from VASP.

Output
Its space group is No. 162. The calculation puts the total magnetization at 0.04 μB/f.u.

```
&SYSTEM
  ibrav = 0, nat = 9, ntyp = 3
/
ATOMIC_SPECIES
Cr 52.00 Cr.upf
Rh 102.91 Rh.upf
O 16.00 O.upf
ATOMIC_POSITIONS crystal
Cr 0.000 0.000 0.000
Rh 0.500 0.667 0.333
Rh 0.500 0.333 0.667
O 0.752 0.661 0.661
O 0.248 0.661 0.000
O 0.248 0.000 0.661
O 0.752 0.339 0.000
O 0.248 0.339 0.339
O 0.752 0.000 0.339
CELL_PARAMETERS angstrom
4.295 0.000 0.000
0.000 4.386 -2.532
0.000 0.000 5.065
```

=====

It is one that is the least stable of them.

=====

one | VASP calculation (PBE with a Hubbard U) on a relaxed CrSO4 crystal. Values from VASP.

Output
Its space group is No. 63. The calculation puts the total magnetization at 4.00 μB/f.u.

```
&SYSTEM
  ibrav = 0, nat = 12, ntyp = 3
/
ATOMIC_SPECIES
Cr 52.00 Cr.upf
S 32.06 S.upf
O 16.00 O.upf
ATOMIC_POSITIONS crystal
Cr 0.639 0.361 0.250
Cr 0.361 0.639 0.750
S 0.777 0.223 0.750
S 0.223 0.777 0.250
O 0.664 0.336 0.931
O 0.336 0.664 0.431
O 0.070 0.297 0.750
O 0.930 0.703 0.250
O 0.664 0.336 0.569
O 0.336 0.664 0.069
O 0.297 0.070 0.250
O 0.703 0.930 0.750
CELL_PARAMETERS angstrom
5.169 -0.221 0.000
-0.919 5.091 0.000
0.000 0.000 6.486
```

=====

two | VASP calculation (PBE with a Hubbard U) on a relaxed CrSO4 crystal. Values from VASP.

Output
Its space group is No. 16. The calculation puts the total magnetization at 4.00 μB/f.u.

```
&SYSTEM
  ibrav = 0, nat = 12, ntyp = 3
/
ATOMIC_SPECIES
Cr 52.00 Cr.upf
S 32.06 S.upf
O 16.00 O.upf
ATOMIC_POSITIONS crystal
Cr 0.000 0.000 0.000
Cr 0.500 0.000 0.500
S 0.000 0.500 0.000
S 0.000 0.000 0.500
O 0.163 0.327 0.103
O 0.163 0.673 0.897
O 0.837 0.327 0.897
O 0.837 0.673 0.103
O 0.827 0.841 0.606
O 0.827 0.159 0.394
O 0.173 0.841 0.394
O 0.173 0.159 0.606
CELL_PARAMETERS angstrom
5.371 0.000 0.000
0.000 5.372 0.000
0.000 0.000 7.702
```

=====

It is two that is the least stable of them.

=====

one | VASP calculation (PBE with a Hubbard U) on a relaxed CrSO4 crystal. Values from VASP.

Output
Its space group is No. 63. The calculation puts the total magnetization at 4.00 μB/f.u.

```
&SYSTEM
  ibrav = 0, nat = 12, ntyp = 3
/
ATOMIC_SPECIES
Cr 52.00 Cr.upf
S 32.06 S.upf
O 16.00 O.upf
ATOMIC_POSITIONS crystal
Cr 0.000 0.000 0.500
Cr 0.000 0.000 0.000
S 0.656 0.344 0.750
S 0.344 0.656 0.250
O 0.320 0.222 0.750
O 0.222 0.320 0.250
O 0.778 0.680 0.750
O 0.680 0.778 0.250
O 0.757 0.243 0.575
O 0.757 0.243 0.925
O 0.243 0.757 0.075
O 0.243 0.757 0.425
CELL_PARAMETERS angstrom
-4.133 2.510 0.470
-0.683 -4.799 -0.322
0.470 -0.536 6.999
```

=====

two | VASP calculation (PBE with a Hubbard U) on a relaxed CrSO4 crystal. Values from VASP.

Output
Its space group is No. 62. The calculation puts the total magnetization at 4.00 μB/f.u.

```
&SYSTEM
  ibrav = 0, nat = 24, ntyp = 3
/
ATOMIC_SPECIES
Cr 52.00 Cr.upf
S 32.06 S.upf
O 16.00 O.upf
ATOMIC_POSITIONS crystal
Cr 0.000 0.000 0.000
Cr 0.000 0.500 0.000
Cr 0.500 0.000 0.500
Cr 0.500 0.500 0.500
S 0.955 0.750 0.685
S 0.545 0.750 0.185
S 0.455 0.250 0.815
S 0.045 0.250 0.315
O 0.954 0.750 0.862
O 0.816 0.923 0.637
O 0.816 0.577 0.637
O 0.730 0.250 0.872
O 0.770 0.250 0.372
O 0.684 0.923 0.137
O 0.684 0.577 0.137
O 0.546 0.750 0.362
O 0.454 0.250 0.638
O 0.316 0.423 0.863
O 0.316 0.077 0.863
O 0.230 0.750 0.628
O 0.270 0.750 0.128
O 0.184 0.423 0.363
O 0.184 0.077 0.363
O 0.046 0.250 0.138
CELL_PARAMETERS angstrom
5.041 0.000 0.000
0.000 7.121 0.000
0.000 0.000 8.636
```

=====

It is one that is the least stable of them.

=====

one | VASP calculation (PBE with a Hubbard U) on a relaxed Cr2SO crystal. Values from VASP.

Output
Its space group is No. 225. The calculation puts the total magnetization at 8.00 μB/f.u.

```
&SYSTEM
  ibrav = 0, nat = 4, ntyp = 3
/
ATOMIC_SPECIES
Cr 52.00 Cr.upf
S 32.06 S.upf
O 16.00 O.upf
ATOMIC_POSITIONS crystal
Cr 0.250 0.250 0.250
Cr 0.750 0.750 0.750
S 0.500 0.500 0.500
O 0.000 0.000 0.000
CELL_PARAMETERS angstrom
3.562 1.223 1.916
0.181 3.757 1.926
0.167 0.206 4.218
```

=====

two | VASP calculation (PBE with a Hubbard U) on a relaxed Cr2SO crystal. Values from VASP.

Output
Its space group is No. 166. The calculation puts the total magnetization at 8.00 μB/f.u.

```
&SYSTEM
  ibrav = 0, nat = 4, ntyp = 3
/
ATOMIC_SPECIES
Cr 52.00 Cr.upf
S 32.06 S.upf
O 16.00 O.upf
ATOMIC_POSITIONS crystal
Cr 0.260 0.260 0.221
Cr 0.740 0.740 0.779
S 0.500 0.500 0.500
O 0.000 0.000 0.000
CELL_PARAMETERS angstrom
-2.909 -1.707 -0.352
-0.139 -3.294 0.791
-2.419 -0.354 5.373
```

=====

three | VASP calculation (PBE with a Hubbard U) on a relaxed Cr2SO crystal. Values from VASP.

Output
Its space group is No. 122. The calculation puts the total magnetization at 8.00 μB/f.u.

```
&SYSTEM
  ibrav = 0, nat = 8, ntyp = 3
/
ATOMIC_SPECIES
Cr 52.00 Cr.upf
S 32.06 S.upf
O 16.00 O.upf
ATOMIC_POSITIONS crystal
Cr 0.576 0.125 0.250
Cr 0.174 0.625 0.250
Cr 0.375 0.424 0.750
Cr 0.875 0.826 0.750
S 0.000 0.000 0.000
S 0.750 0.250 0.500
O 0.500 0.500 0.000
O 0.250 0.750 0.500
CELL_PARAMETERS angstrom
5.956 0.000 0.000
0.000 5.956 0.000
2.978 2.978 3.505
```

=====

It is one that is the least stable of them.

=====

one | VASP calculation (PBE with a Hubbard U) on a relaxed CrS3O crystal. Values from VASP.

Output
Its space group is No. 221. The calculation puts the total magnetization at 0.00 μB/f.u.

```
&SYSTEM
  ibrav = 0, nat = 5, ntyp = 3
/
ATOMIC_SPECIES
Cr 52.00 Cr.upf
S 32.06 S.upf
O 16.00 O.upf
ATOMIC_POSITIONS crystal
Cr 0.000 0.000 0.000
S 0.000 0.500 0.000
S 0.000 0.000 0.500
S 0.500 0.000 0.000
O 0.500 0.500 0.500
CELL_PARAMETERS angstrom
4.362 0.000 0.000
0.000 4.362 0.000
0.000 0.000 4.362
```

=====

two | VASP calculation (PBE with a Hubbard U) on a relaxed CrS3O crystal. Values from VASP.

Output
Its space group is No. 221. The calculation puts the total magnetization at 0.10 μB/f.u.

```
&SYSTEM
  ibrav = 0, nat = 5, ntyp = 3
/
ATOMIC_SPECIES
Cr 52.00 Cr.upf
S 32.06 S.upf
O 16.00 O.upf
ATOMIC_POSITIONS crystal
Cr 0.500 0.500 0.500
S 0.000 0.500 0.000
S 0.000 0.000 0.500
S 0.500 0.000 0.000
O 0.000 0.000 0.000
CELL_PARAMETERS angstrom
-1.900 2.212 -3.047
-2.178 -3.430 -1.133
-3.072 1.063 2.687
```

=====

It is one that is the least stable of them.

=====

one | VASP calculation (PBE with a Hubbard U) on a relaxed CrSb2O6 crystal. Values from VASP.

Output
Its space group is No. 136. The calculation puts the total magnetization at 3.19 μB/f.u.

```
&SYSTEM
  ibrav = 0, nat = 18, ntyp = 3
/
ATOMIC_SPECIES
Cr 52.00 Cr.upf
Sb 121.76 Sb.upf
O 16.00 O.upf
ATOMIC_POSITIONS crystal
Cr 0.500 0.500 0.000
Cr 0.000 0.000 0.500
Sb 0.500 0.500 0.333
Sb 0.000 0.000 0.833
Sb 0.000 0.000 0.167
Sb 0.500 0.500 0.667
O 0.694 0.306 0.500
O 0.806 0.806 0.000
O 0.194 0.194 0.000
O 0.306 0.694 0.500
O 0.692 0.308 0.834
O 0.692 0.308 0.166
O 0.808 0.808 0.334
O 0.808 0.808 0.666
O 0.192 0.192 0.334
O 0.192 0.192 0.666
O 0.308 0.692 0.834
O 0.308 0.692 0.166
CELL_PARAMETERS angstrom
4.773 0.000 0.000
0.000 4.773 0.000
0.000 0.000 9.594
```

=====

two | VASP calculation (PBE with a Hubbard U) on a relaxed CrSb2O6 crystal. Values from VASP.

Output
Its space group is No. 150. The calculation puts the total magnetization at 2.80 μB/f.u.

```
&SYSTEM
  ibrav = 0, nat = 27, ntyp = 3
/
ATOMIC_SPECIES
Cr 52.00 Cr.upf
Sb 121.76 Sb.upf
O 16.00 O.upf
ATOMIC_POSITIONS crystal
Cr 0.493 0.333 0.667
Cr 0.000 0.000 0.000
Cr 0.507 0.667 0.333
Sb 0.000 0.640 0.640
Sb 0.500 0.306 0.306
Sb 0.000 0.000 0.360
Sb 0.500 0.694 0.000
Sb 0.500 0.000 0.694
Sb 0.000 0.360 0.000
O 0.233 0.783 0.884
O 0.721 0.555 0.776
O 0.265 0.418 0.533
O 0.265 0.467 0.885
O 0.721 0.221 0.445
O 0.233 0.101 0.217
O 0.721 0.224 0.779
O 0.767 0.899 0.116
O 0.265 0.115 0.582
O 0.233 0.116 0.899
O 0.279 0.779 0.224
O 0.735 0.885 0.467
O 0.735 0.582 0.115
O 0.279 0.776 0.555
O 0.767 0.884 0.783
O 0.279 0.445 0.221
O 0.735 0.533 0.418
O 0.767 0.217 0.101
CELL_PARAMETERS angstrom
4.690 0.000 0.000
0.000 7.711 -4.452
0.000 0.000 8.903
```

=====

three | VASP calculation (PBE with a Hubbard U) on a relaxed CrSb2O6 crystal. Values from VASP.

Output
Its space group is No. 12. The calculation puts the total magnetization at 4.00 μB/f.u.

```
&SYSTEM
  ibrav = 0, nat = 9, ntyp = 3
/
ATOMIC_SPECIES
Cr 52.00 Cr.upf
Sb 121.76 Sb.upf
O 16.00 O.upf
ATOMIC_POSITIONS crystal
Cr 0.000 0.000 0.000
Sb 0.333 0.667 0.500
Sb 0.667 0.333 0.500
O 0.369 0.012 0.269
O 0.631 0.988 0.731
O 0.656 0.656 0.268
O 0.344 0.344 0.732
O 0.988 0.631 0.731
O 0.012 0.369 0.269
CELL_PARAMETERS angstrom
4.620 2.611 0.007
-4.620 2.611 0.007
0.000 0.294 4.715
```

=====

It is three that is the least stable of them.

=====

one | VASP calculation (PBE with a Hubbard U) on a relaxed CrSb3O crystal. Values from VASP.

Output
Its space group is No. 221. The calculation puts the total magnetization at 0.00 μB/f.u.

```
&SYSTEM
  ibrav = 0, nat = 5, ntyp = 3
/
ATOMIC_SPECIES
Sb 121.76 Sb.upf
O 16.00 O.upf
Cr 52.00 Cr.upf
ATOMIC_POSITIONS crystal
Sb 0.000 0.500 0.000
Sb 0.000 0.000 0.500
Sb 0.500 0.000 0.000
O 0.500 0.500 0.500
Cr 0.000 0.000 0.000
CELL_PARAMETERS angstrom
4.880 0.000 0.000
0.000 4.880 0.000
0.000 0.000 4.880
```

=====

two | VASP calculation (PBE with a Hubbard U) on a relaxed CrSb3O crystal. Values from VASP.

Output
Its space group is No. 221. The calculation puts the total magnetization at 1.17 μB/f.u.

```
&SYSTEM
  ibrav = 0, nat = 5, ntyp = 3
/
ATOMIC_SPECIES
Sb 121.76 Sb.upf
O 16.00 O.upf
Cr 52.00 Cr.upf
ATOMIC_POSITIONS crystal
Sb 0.000 0.500 0.000
Sb 0.000 0.000 0.500
Sb 0.500 0.000 0.000
O 0.000 0.000 0.000
Cr 0.500 0.500 0.500
CELL_PARAMETERS angstrom
4.706 0.000 0.000
0.000 4.706 0.000
0.000 0.000 4.706
```

=====

It is one that is the least stable of them.